# 1
DFT (GGA-PBE) results for crystalline NbSi2Mo at its relaxed geometry.

Summary:
Uncorrected energy: -8.09 eV per atom
Energy relative to the elements, uncorrected: -14.8 kJ/mol of atoms

The structure in CIF format:
```
data_NbSi2Mo
_cell_length_a 6.210
_cell_length_b 6.210
_cell_length_c 6.210
_cell_angle_alpha 90.00
_cell_angle_beta 90.00
_cell_angle_gamma 90.00
_space_group_name_H-M_alt 'F m -3 m'
_space_group_IT_number 225
_space_group_name_Hall '-F 4 2 3'
loop_
_atom_site_label
_atom_site_type_symbol
_atom_site_fract_x
_atom_site_fract_y
_atom_site_fract_z
Nb1 Nb 0.000 0.000 0.000
Si1 Si 0.250 0.250 0.250
Mo1 Mo 0.000 0.000 0.500
```


# 2
DFT (GGA-PBE) results for crystalline NbSi4Mo at its relaxed geometry.

Summary:
Uncorrected energy: -7.58 eV per atom
Energy relative to the elements, uncorrected: -46.1 kJ/mol of atoms

The structure in CIF format:
```
data_NbSi4Mo
_cell_length_a 8.682
_cell_length_b 3.243
_cell_length_c 6.528
_cell_angle_alpha 90.00
_cell_angle_beta 111.94
_cell_angle_gamma 90.00
_space_group_name_H-M_alt 'C 1 2/m 1'
_space_group_IT_number 12
loop_
_space_group_symop_operation_xyz
'x,y,z'
'-x,-y,-z'
'-x,y,-z'
'x,-y,z'
'x+1/2,y+1/2,z'
'-x+1/2,-y+1/2,-z'
'-x+1/2,y+1/2,-z'
'x+1/2,-y+1/2,z'
loop_
_atom_site_label
_atom_site_type_symbol
_atom_site_fract_x
_atom_site_fract_y
_atom_site_fract_z
Nb1 Nb 0.000 0.000 0.000
Si1 Si 0.166 0.500 0.338
Si2 Si 0.166 0.500 0.827
Mo1 Mo 0.000 0.000 0.500
```